Record 1
Entry from Alexandria via LeMat-Bulk: crystalline SmPd6Au2 at its relaxed geometry (PBE-GGA).

Unit cell a=5.437 b=5.437 c=7.259 alpha=90.00 beta=90.00 gamma=120.00
Fractional positions:
Sm 0.000 0.000 0.000
Pd 0.000 0.500 0.186
Pd 0.000 0.500 0.814
Pd 0.500 0.000 0.186
Pd 0.500 0.000 0.814
Pd 0.500 0.500 0.186
Pd 0.500 0.500 0.814
Au 0.333 0.667 0.500
Au 0.667 0.333 0.500

Output
Energy relative to the elements (eV per formula unit): -1.57
DOS(E_F) (states/eV per atom): 0.918
E_tot (eV per atom): -4.89
Excess energy over the best structure of this formula in the dataset (meV per atom): 0

Record 2
Entry from Alexandria via LeMat-Bulk: crystalline SmPd7Au5 at its relaxed geometry (PBE-GGA).

Unit cell a=7.109 b=7.109 c=7.109 alpha=134.76 beta=98.48 gamma=98.54
Fractional positions:
Sm 0.000 0.000 0.000
Pd 0.198 0.698 0.500
Pd 0.210 0.490 0.721
Pd 0.338 0.989 0.349
Pd 0.343 0.343 0.000
Pd 0.641 0.989 0.651
Pd 0.643 0.643 0.000
Pd 0.769 0.490 0.279
Au 0.486 0.490 0.497
Au 0.486 0.989 0.997
Au 0.781 0.281 0.500
Au 0.992 0.490 0.003
Au 0.992 0.989 0.503

Output
Energy relative to the elements (eV per formula unit): -3.06
DOS(E_F) (states/eV per atom): 0.612
E_tot (eV per atom): -4.66

Record 3
Entry from Alexandria via LeMat-Bulk: crystalline SmPdAu at its relaxed geometry (PBE-GGA).

Unit cell a=5.279 b=5.279 c=5.279 alpha=138.38 beta=138.38 gamma=60.32
Fractional positions:
Sm 0.000 0.000 0.000
Pd 0.338 0.338 0.000
Au 0.669 0.669 0.000

Output
Energy relative to the elements (eV per formula unit): -2.37
DOS(E_F) (states/eV per atom): 0.430
E_tot (eV per atom): -5.19
Excess energy over the best structure of this formula in the dataset (meV per atom): 31

Record 4
Entry from Alexandria via LeMat-Bulk: crystalline Sm5PdAu4 at its relaxed geometry (PBE-GGA).

Unit cell a=3.638 b=3.638 c=18.465 alpha=90.00 beta=90.00 gamma=90.00
Fractional positions:
Sm 0.000 0.000 0.000
Sm 0.000 0.000 0.202
Sm 0.000 0.000 0.404
Sm 0.000 0.000 0.596
Sm 0.000 0.000 0.798
Pd 0.500 0.500 0.500
Au 0.500 0.500 0.101
Au 0.500 0.500 0.304
Au 0.500 0.500 0.696
Au 0.500 0.500 0.899

Output
Energy relative to the elements (eV per formula unit): -7.92
DOS(E_F) (states/eV per atom): 0.795
E_tot (eV per atom): -4.98